Entry 1:
Here is a relaxed structure of Pr2AlSbPt6 from Alexandria. Energies are from PBE.

Values from the calculation:
* DOS at the Fermi energy: 0.568 states/eV per atom
* volume: 213 Å³ per cell
* density: 12.477 Mg/m³
* spin magnetization: 0.00 μB per cell
* formation energy without anion corrections: -821 meV per atom
* uncorrected energy: -61.9 eV for the cell shown

a = 5.5063 Å, b = 6.7911 Å, c = 6.8135 Å
α = 80.69°, β = 66.17°, γ = 66.10°
Closest atoms and distances in Å follow each position.
Space group P-1 (No. 2)
One atom of each set of equivalent atoms:
Pr: 0.0356 0.2092 0.2202 x2  7 Pt 3.07-3.35
Al: 0.5000 0.0000 0.5000 x1  6 Pt 2.51-2.54
Sb: 0.5000 0.5000 0.0000 x1  6 Pt 2.64-2.68
Pt: 0.0114 0.2304 0.7485 x2  1 Al 2.51, 1 Sb 2.68, 3 Pt 2.72-2.77
Pt: 0.3467 0.3981 0.4107 x2  1 Al 2.54, 1 Sb 2.64, 2 Pt 2.72
Pt: 0.4917 0.7700 0.2503 x2  1 Al 2.51, 1 Sb 2.67, 3 Pt 2.72-2.77

***

Entry 2:
Here is a relaxed structure of TeAu2 from Alexandria. Energies are from PBE.

Values from the calculation:
* DOS at the Fermi energy: 0.382 states/eV per atom
* volume: 514 Å³ per cell
* density: 13.488 Mg/m³
* spin magnetization: 0.00 μB per cell
* formation energy without anion corrections: 176 meV per atom
* uncorrected energy: -73.4 eV for the cell shown

a = 4.3580 Å, b = 4.3580 Å, c = 27.0451 Å
α = 90.00°, β = 90.00°, γ = 90.00°
Closest atoms and distances in Å follow each position.
Space group I4_1/amd (No. 141, origin choice 2)
One atom of each set of equivalent atoms:
Te: 0.0000 0.2500 0.3013 x8  10 Au 2.94-3.28
Au: 0.0000 0.2500 0.1258 x8  4 Te 2.94-2.97, 8 Au 3.08-3.19
Au: 0.0000 0.2500 0.7895 x8  6 Au 3.05-3.19, 6 Te 3.10-3.28

***

Entry 3:
Here is a relaxed structure of TiRhW3 from Alexandria. Energies are from PBE.

Values from the calculation:
* ΔE_f: 1.82 eV/atom
* DOS at the Fermi energy: 1.366 states/eV per atom
* volume: 103 Å³ per cell
* density: 11.319 Mg/m³
* energy above the lowest structure with this stoichiometry: 0.0 meV per atom
* spin magnetization: 0.00 μB per cell
* uncorrected energy: -45.0 eV for the cell shown

a = 4.6880 Å, b = 4.6880 Å, c = 4.6880 Å
α = 90.00°, β = 90.00°, γ = 90.00°
Closest atoms and distances in Å follow each position.
Space group Pm-3m (No. 221)
One atom of each set of equivalent atoms:
Ti: 0.0000 0.0000 0.0000 x1  12 W 3.31
Rh: 0.5000 0.5000 0.5000 x1  6 W 2.34
W: 0.0000 0.5000 0.5000 x3  2 Rh 2.34

***

Entry 4:
Here is a relaxed structure of TiBiSe2 from Alexandria. Energies are from PBE.

Values from the calculation:
* DOS at the Fermi energy: 0.406 states/eV per atom
* volume: 397 Å³ per cell
* density: 6.940 Mg/m³
* spin magnetization: 2.64 μB per cell
* formation energy without anion corrections: -548 meV per atom
* uncorrected energy: -83.7 eV for the cell shown

a = 7.2060 Å, b = 3.8649 Å, c = 14.2530 Å
α = 90.00°, β = 90.00°, γ = 90.00°
Closest atoms and distances in Å follow each position.
Space group Pnma (No. 62)
One atom of each set of equivalent atoms:
Ti: 0.0228 0.2500 0.1061 x4  5 Se 2.60-2.81
Bi: 0.2017 0.7500 0.3563 x4  2 Se 2.83, 2 Ti 3.06
Se: 0.1693 0.7500 0.7268 x4  2 Ti 2.76-2.81, 2 Bi 2.83
Se: 0.2157 0.7500 0.0321 x4  3 Ti 2.60-2.61

***

Entry 5:
Here is a relaxed structure of SmHo3Th3 from Alexandria. Energies are from PBE.

Values from the calculation:
* ΔE_f: 0.04 eV/atom
* DOS at the Fermi energy: 1.490 states/eV per atom
* volume: 454 Å³ per cell
* density: 9.817 Mg/m³
* energy above the lowest structure with this stoichiometry: 0.0 meV per atom
* spin magnetization: 0.00 μB per cell
* uncorrected energy: -80.8 eV for the cell shown

a = 9.4643 Å, b = 9.4643 Å, c = 5.8490 Å
α = 90.00°, β = 90.00°, γ = 120.00°
Closest atoms and distances in Å follow each position.
Space group P6_3/m (No. 176)
One atom of each set of equivalent atoms:
Sm: 0.3333 0.6667 0.2500 x2  9 Ho 3.56-3.61, 3 Th 3.61
Ho: 0.0915 0.6218 0.7500 x6  5 Th 3.53-3.63, 3 Sm 3.56-3.61, 4 Ho 3.59-3.65
Th: 0.0460 0.8121 0.2500 x6  6 Th 3.52-3.56, 5 Ho 3.53-3.63, 1 Sm 3.61

***

Entry 6:
Here is a relaxed structure of CaAlCd2Ag4 from Alexandria. Energies are from PBE.

Values from the calculation:
* ΔE_f: -0.12 eV/atom
* DOS at the Fermi energy: 0.308 states/eV per atom
* volume: 490 Å³ per cell
* density: 7.349 Mg/m³
* spin magnetization: 0.00 μB per cell
* uncorrected energy: -59.8 eV for the cell shown

a = 4.7601 Å, b = 4.7601 Å, c = 24.9901 Å
α = 90.00°, β = 90.00°, γ = 120.00°
Closest atoms and distances in Å follow each position.
Space group R-3m (No. 166, hexagonal axes)
One atom of each set of equivalent atoms:
Ca: 0.0000 0.0000 0.0000 x3  8 Ag 3.13-3.30, 6 Cd 3.42
Al: 0.0000 0.0000 0.5000 x3  8 Ag 2.66-2.88
Cd: 0.0000 0.0000 0.2520 x6  7 Ag 2.80-3.02
Ag: 0.0000 0.0000 0.1319 x6  3 Al 2.88, 4 Cd 3.00-3.02
Ag: 0.0000 0.0000 0.3937 x6  1 Al 2.66, 3 Cd 2.80

***

Entry 7:
Here is a relaxed structure of CdPd3 from Alexandria. Energies are from PBE.

Values from the calculation:
* ΔE_f: -0.12 eV/atom
* DOS at the Fermi energy: 1.365 states/eV per atom
* volume: 197 Å³ per cell
* density: 10.918 Mg/m³
* spin magnetization: 0.00 μB per cell
* uncorrected energy: -51.0 eV for the cell shown

a = 2.8934 Å, b = 2.8934 Å, c = 27.1654 Å
α = 90.00°, β = 90.00°, γ = 120.00°
Closest atoms and distances in Å follow each position.
Space group R-3m (No. 166, hexagonal axes)
One atom of each set of equivalent atoms:
Cd: 0.0000 0.0000 0.0000 x3  6 Pd 2.82, 6 Cd 2.89
Pd: 0.0000 0.0000 0.2495 x6  9 Pd 2.80-2.89, 3 Cd 2.82
Pd: 0.0000 0.0000 0.5000 x3  12 Pd 2.80-2.89

***

Entry 8:
Here is a relaxed structure of GaMoRh2 from Alexandria. Energies are from PBE.

Values from the calculation:
* ΔE_f: 0.60 eV/atom
* DOS at the Fermi energy: 0.804 states/eV per atom
* volume: 342 Å³ per cell
* density: 7.220 Mg/m³
* spin magnetization: 0.00 μB per cell
* uncorrected energy: -104.7 eV for the cell shown

a = 5.7733 Å, b = 5.7733 Å, c = 10.2534 Å
α = 90.00°, β = 90.00°, γ = 90.00°
Closest atoms and distances in Å follow each position.
Space group I-42d (No. 122)
One atom of each set of equivalent atoms:
Ga: 0.0000 0.0000 0.0000 x4  4 Rh 2.42
Mo: 0.0000 0.0000 0.5000 x4  4 Rh 2.40
Rh: 0.2475 0.2500 0.6250 x8  2 Mo 2.40, 2 Ga 2.42

***

Entry 9:
Here is a relaxed structure of Tb3Cd2Pt3 from Alexandria. Energies are from PBE.

Values from the calculation:
* ΔE_f: -0.92 eV/atom
* DOS at the Fermi energy: 0.448 states/eV per atom
* volume: 363 Å³ per cell
* density: 11.759 Mg/m³
* energy above the lowest structure with this stoichiometry: 0.0 meV per atom
* spin magnetization: 0.00 μB per cell
* uncorrected energy: -82.5 eV for the cell shown

a = 8.5161 Å, b = 8.5161 Å, c = 5.7867 Å
α = 90.00°, β = 90.00°, γ = 120.00°
Closest atoms and distances in Å follow each position.
Space group P6_3/mcm (No. 193)
One atom of each set of equivalent atoms:
Tb: 0.0000 0.2806 0.2500 x6  5 Pt 2.88-3.00
Cd: 0.3333 0.6667 0.0000 x4  2 Cd 2.89, 6 Pt 3.04
Pt: 0.0000 0.3758 0.7500 x6  5 Tb 2.88-3.00, 4 Cd 3.04

***

Entry 10:
Here is a relaxed structure of ScZn from Alexandria. Energies are from PBE.

Values from the calculation:
* ΔE_f: -0.21 eV/atom
* DOS at the Fermi energy: 0.677 states/eV per atom
* volume: 237 Å³ per cell
* density: 4.632 Mg/m³
* spin magnetization: 0.00 μB per cell
* uncorrected energy: -48.1 eV for the cell shown

a = 7.8986 Å, b = 7.8986 Å, c = 4.3936 Å
α = 90.00°, β = 90.00°, γ = 120.00°
Closest atoms and distances in Å follow each position.
Space group P6_3/mmc (No. 194)
One atom of each set of equivalent atoms:
Sc: 0.1661 0.3322 0.2500 x6  6 Zn 2.78-2.98
Zn: 0.1186 0.5593 0.7500 x6  4 Zn 2.54-2.73, 2 Sc 2.78

***

Entry 11:
Here is a relaxed structure of LiMnFeRh from Alexandria. Energies are from PBE.

Values from the calculation:
* ΔE_f: 0.07 eV/atom
* DOS at the Fermi energy: 0.646 states/eV per atom
* volume: 211 Å³ per cell
* density: 6.955 Mg/m³
* spin magnetization: 29.14 μB per cell
* uncorrected energy: -106.5 eV for the cell shown

a = 5.9506 Å, b = 5.9506 Å, c = 5.9506 Å
α = 90.00°, β = 90.00°, γ = 90.00°
Closest atoms and distances in Å follow each position.
Space group F-43m (No. 216)
One atom of each set of equivalent atoms:
Li: 0.0000 0.0000 0.0000 x4  4 Mn 2.58, 4 Rh 2.58
Mn: 0.2500 0.2500 0.2500 x4  4 Fe 2.58, 4 Li 2.58
Fe: 0.0000 0.0000 0.5000 x4  4 Mn 2.58, 4 Rh 2.58
Rh: 0.2500 0.2500 0.7500 x4  4 Fe 2.58, 4 Li 2.58

***

Entry 12:
Here is a relaxed structure of BiCN2 from Alexandria. Energies are from PBE.

Values from the calculation:
* DOS at the Fermi energy: 0.242 states/eV per atom
* volume: 188 Å³ per cell
* density: 6.595 Mg/m³
* energy above the lowest structure with this stoichiometry: 137.9 meV per atom
* spin magnetization: 0.00 μB per cell
* formation energy without anion corrections: 503 meV per atom
* uncorrected energy: -83.2 eV for the cell shown

a = 3.4822 Å, b = 3.4822 Å, c = 17.9114 Å
α = 90.00°, β = 90.00°, γ = 120.00°
Closest atoms and distances in Å follow each position.
Space group R-3m (No. 166, hexagonal axes)
One atom of each set of equivalent atoms:
Bi: 0.0000 0.0000 0.0000 x3  6 N 2.66
C: 0.0000 0.0000 0.5000 x3  2 N 1.24
N: 0.0000 0.0000 0.4309 x6  1 C 1.24

***

Q: Look up the density of the twelfth one.
A: 6.595 Mg/m³

***

Q: Which of these has the highest density?
A: TeAu2

***

Q: Which formula does entry 5 have?
A: SmHo3Th3